(1)
Na4ZrSb3Se8: optimized geometry, PBE.

The value obtained for the total energy is -4.165 eV/atom.

The structure belongs to space group R-3m (No. 166, hexagonal axes); the cell edges are 8.3721, 8.3721 and 20.7017 Å and the angles 90.00°, 90.00° and 120.00°. The asymmetric unit holds Na at (0.0000, 0.0000, 0.0000), Na at (0.0000, 0.5000, 0.0000), Zr at (0.0000, 0.0000, 0.5000), Sb at (0.0000, 0.5000, 0.5000), Se at (0.0000, 0.0000, 0.2445) and Se at (0.0150, 0.5075, 0.2402).

=====

(2)
NaSiSb2: optimized geometry, PBE.

The value obtained for the total energy is -3.717 eV/atom.

The structure belongs to space group R-3m (No. 166, hexagonal axes); the cell edges are 3.8017, 3.8017 and 24.9731 Å and the angles 90.00°, 90.00° and 120.00°. The asymmetric unit holds Na at (0.0000, 0.0000, 0.0000), Si at (0.0000, 0.0000, 0.5000) and Sb at (0.0000, 0.0000, 0.2332).

=====

(3)
Na2SiSb: optimized geometry, PBE.

The value obtained for the total energy is -2.827 eV/atom.

The structure belongs to space group I-42d (No. 122); the cell edges are 8.8368, 8.8368 and 5.4559 Å and the angles 90.00°, 90.00° and 90.00°. The asymmetric unit holds Na at (0.2103, 0.2500, 0.1250), Si at (0.0000, 0.0000, 0.0000) and Sb at (0.0000, 0.0000, 0.5000).

=====

(4)
NaSi2Sb2: optimized geometry, PBE.

The value obtained for the total energy is -3.835 eV/atom.

The structure belongs to space group I4/mmm (No. 139); the cell edges are 4.7316, 4.7316 and 13.1167 Å and the angles 90.00°, 90.00° and 90.00°. The asymmetric unit holds Na at (0.0000, 0.0000, 0.0000), Si at (0.0000, 0.5000, 0.2500) and Sb at (0.0000, 0.0000, 0.3560).

=====

Energy relative to the elements, uncorrected values (in eV per atom) by entry order: -0.786 0.030 0.219 0.247.
Magnetization values (in μB/f.u.) by entry order: 0.6 0.0 0.0 0.0.